[1]
This record from Alexandria describes a relaxed Pm3Y7Tm2 crystal. The functional is PBE.

The space group is P2/m (No. 10) and the conventional cell measures 5.851, 3.574 and 18.820 Å, with angles of 90.00, 93.09 and 90.00 degrees. The inequivalent atoms are Pm at (0.000, 0.000, 0.000), Pm at (0.280, 0.500, 0.634), Y at (0.188, 0.500, 0.144), Y at (0.243, 0.000, 0.463), Y at (0.309, 0.000, 0.821), Y at (0.500, 0.500, 0.000) and Tm at (0.208, 0.000, 0.293).

The calculated density is 5.90 g/cm3. The calculation puts the density of states at the Fermi level at 1.324 states/eV per atom. The total energy comes out at -5.6155 eV per atom.

***

[2]
This record from Alexandria describes a relaxed Pm4Y4Tm3 crystal. The functional is PBE.

The space group is Immm (No. 71) and the conventional cell measures 3.611, 9.277 and 21.990 Å, with angles of 90.00, 90.00 and 90.00 degrees. The inequivalent atoms are Pm at (0.000, 0.179, 0.142), Y at (0.000, 0.318, 0.000), Y at (0.000, 0.500, 0.241), Tm at (0.000, 0.000, 0.392) and Tm at (0.000, 0.500, 0.500).

The calculated density is 6.50 g/cm3. The calculation puts the density of states at the Fermi level at 1.780 states/eV per atom. The total energy comes out at -5.1754 eV per atom.

***

[3]
This record from Alexandria describes a relaxed Pm6YTm2 crystal. The functional is PBE.

The space group is P-1 (No. 2) and the conventional cell measures 3.610, 9.531 and 9.542 Å, with angles of 69.05, 79.30 and 79.21 degrees. The inequivalent atoms are Pm at (0.058, 0.219, 0.167), Pm at (0.167, 0.670, 0.497), Pm at (0.387, 0.558, 0.167), Y at (0.500, 0.000, 0.500) and Tm at (0.277, 0.108, 0.837).

The calculated density is 7.21 g/cm3. The calculation puts the density of states at the Fermi level at 1.473 states/eV per atom. The total energy comes out at -4.8591 eV per atom.

***

[4]
This record from Alexandria describes a relaxed Pm2YTm crystal. The functional is PBE.

The space group is Fm-3m (No. 225) and the conventional cell measures 8.090, 8.090 and 8.090 Å, with angles of 90.00, 90.00 and 90.00 degrees. The inequivalent atoms are Pm at (0.250, 0.250, 0.250), Y at (0.000, 0.000, 0.000) and Tm at (0.000, 0.000, 0.500).

The calculated density is 6.87 g/cm3. The calculation puts the density of states at the Fermi level at 1.870 states/eV per atom. The total energy comes out at -5.0016 eV per atom.

***

[5]
This record from Alexandria describes a relaxed Pm7YTm2 crystal. The functional is PBE.

The space group is Cmmm (No. 65) and the conventional cell measures 8.826, 16.406 and 5.657 Å, with angles of 90.00, 90.00 and 90.00 degrees. The inequivalent atoms are Pm at (0.000, 0.000, 0.000), Pm at (0.000, 0.282, 0.500), Pm at (0.179, 0.386, 0.000), Y at (0.000, 0.500, 0.500) and Tm at (0.000, 0.205, 0.000).

The calculated density is 5.85 g/cm3. The calculation puts the density of states at the Fermi level at 1.504 states/eV per atom. The total energy comes out at -4.2179 eV per atom.

***

[6]
This record from Alexandria describes a relaxed Pm2Y3Tm crystal. The functional is PBE.

The space group is C2/m (No. 12) and the conventional cell measures 16.962, 5.558 and 8.421 Å, with angles of 90.00, 92.68 and 90.00 degrees. The inequivalent atoms are Pm at (0.093, 0.000, 0.088), Pm at (0.106, 0.500, 0.835), Y at (0.084, 0.500, 0.391), Y at (0.221, 0.000, 0.410), Y at (0.248, 0.000, 0.847) and Tm at (0.059, 0.000, 0.653).

The calculated density is 6.08 g/cm3. The calculation puts the density of states at the Fermi level at 1.711 states/eV per atom. The total energy comes out at -5.4795 eV per atom.

***

[7]
This record from Alexandria describes a relaxed Pm12Y2Tm crystal. The functional is PBE.

The space group is P4/nbm (No. 125, origin choice 2) and the conventional cell measures 6.533, 6.533 and 25.370 Å, with angles of 90.00, 90.00 and 90.00 degrees. The inequivalent atoms are Pm at (0.067, 0.567, 0.114), Pm at (0.082, 0.582, 0.562), Pm at (0.250, 0.250, 0.214), Pm at (0.250, 0.250, 0.337), Y at (0.250, 0.750, 0.272) and Tm at (0.250, 0.750, 0.000).

The calculated density is 6.40 g/cm3. The calculation puts the density of states at the Fermi level at 1.295 states/eV per atom. The total energy comes out at -4.6425 eV per atom.

***

[8]
This record from Alexandria describes a relaxed PmY6Tm8 crystal. The functional is PBE.

The space group is R-3 (No. 148, hexagonal axes) and the conventional cell measures 6.1554, 6.1554 and 42.8245 Å, with angles of 90.00, 90.00 and 120.00 degrees. The inequivalent atoms are Pm at (0.0000, 0.0000, 0.0000), Y at (0.0000, 0.3338, 0.9321), Tm at (0.0000, 0.0000, 0.3333) and Tm at (0.0000, 0.3331, 0.1344).

The calculated density is 7.20 g/cm3. The calculation puts the density of states at the Fermi level at 1.617 states/eV per atom. The total energy comes out at -5.2724 eV per atom.

***

[9]
This record from Alexandria describes a relaxed Pm2Y4Tm crystal. The functional is PBE.

The space group is Cm (No. 8) and the conventional cell measures 6.288, 3.631 and 20.201 Å, with angles of 90.00, 95.97 and 90.00 degrees. The inequivalent atoms are Pm at (0.000, 0.000, 0.000), Pm at (0.096, 0.000, 0.290), Y at (0.286, 0.000, 0.855), Y at (0.311, 0.500, 0.435), Y at (0.381, 0.000, 0.146), Y at (0.405, 0.500, 0.713) and Tm at (0.192, 0.000, 0.574).

The calculated density is 5.90 g/cm3. The calculation puts the density of states at the Fermi level at 1.729 states/eV per atom. The total energy comes out at -5.6843 eV per atom.

***

[10]
This record from Alexandria describes a relaxed Pm8Y2Tm3 crystal. The functional is PBE.

The space group is C2/m (No. 12) and the conventional cell measures 20.382, 7.694 and 5.680 Å, with angles of 90.00, 90.02 and 90.00 degrees. The inequivalent atoms are Pm at (0.105, 0.205, 0.000), Pm at (0.130, 0.500, 0.500), Pm at (0.170, 0.000, 0.501), Y at (0.240, 0.500, 0.999), Tm at (0.000, 0.214, 0.500) and Tm at (0.000, 0.500, 0.000).

The calculated density is 6.88 g/cm3. The calculation puts the density of states at the Fermi level at 1.444 states/eV per atom. The total energy comes out at -4.7457 eV per atom.

***

[11]
This record from Alexandria describes a relaxed Pm4Y3Tm4 crystal. The functional is PBE.

The space group is Amm2 (No. 38) and the conventional cell measures 10.564, 5.667 and 12.052 Å, with angles of 90.00, 90.00 and 90.00 degrees. The inequivalent atoms are Pm at (0.000, 0.000, 0.000), Pm at (0.208, 0.000, 0.794), Pm at (0.500, 0.000, 0.924), Y at (0.000, 0.000, 0.293), Y at (0.290, 0.000, 0.451), Tm at (0.000, 0.000, 0.592), Tm at (0.302, 0.000, 0.144) and Tm at (0.500, 0.000, 0.653).

The calculated density is 7.01 g/cm3. The calculation puts the density of states at the Fermi level at 1.550 states/eV per atom. The total energy comes out at -4.9696 eV per atom.

***

[12]
This record from Alexandria describes a relaxed Pm5YTm5 crystal. The functional is PBE.

The space group is P-6m2 (No. 187) and the conventional cell measures 6.0589, 6.0589 and 11.7808 Å, with angles of 90.00, 90.00 and 120.00 degrees. The inequivalent atoms are Pm at (0.0000, 0.0000, 0.0000), Pm at (0.3333, 0.6667, 0.3153), Pm at (0.6667, 0.3333, 0.1531), Y at (0.3333, 0.6667, 0.0000), Tm at (0.0000, 0.0000, 0.2661) and Tm at (0.3328, 0.1664, 0.5000).

The calculated density is 7.35 g/cm3. The calculation puts the density of states at the Fermi level at 2.032 states/eV per atom. The total energy comes out at -4.4895 eV per atom.

***

[13]
This record from Alexandria describes a relaxed Pm2Y5Tm12 crystal. The functional is PBE.

The space group is P-1 (No. 2) and the conventional cell measures 6.110, 9.341 and 10.576 Å, with angles of 100.99, 95.57 and 90.08 degrees. The inequivalent atoms are Pm at (0.081, 0.316, 0.473), Y at (0.237, 0.947, 0.420), Y at (0.341, 0.369, 0.053), Y at (0.500, 0.000, 0.000), Tm at (0.024, 0.104, 0.157), Tm at (0.132, 0.526, 0.790), Tm at (0.183, 0.737, 0.104), Tm at (0.291, 0.159, 0.738), Tm at (0.395, 0.579, 0.368) and Tm at (0.446, 0.790, 0.685).

The calculated density is 7.78 g/cm3. The calculation puts the density of states at the Fermi level at 1.423 states/eV per atom. The total energy comes out at -4.9979 eV per atom.

***

[14]
This record from Alexandria describes a relaxed Pm5Y8Tm crystal. The functional is PBE.

The space group is I-4 (No. 82) and the conventional cell measures 9.657, 9.657 and 10.125 Å, with angles of 90.00, 90.00 and 90.00 degrees. The inequivalent atoms are Pm at (0.000, 0.000, 0.000), Pm at (0.109, 0.214, 0.422), Y at (0.071, 0.325, 0.093), Y at (0.084, 0.177, 0.753) and Tm at (0.000, 0.500, 0.750).

The calculated density is 5.65 g/cm3. The calculation puts the density of states at the Fermi level at 1.386 states/eV per atom. The total energy comes out at -5.4700 eV per atom.

***

[15]
This record from Alexandria describes a relaxed Pm4YTm4 crystal. The functional is PBE.

The space group is I4/mmm (No. 139) and the conventional cell measures 10.718, 10.718 and 5.038 Å, with angles of 90.00, 90.00 and 90.00 degrees. The inequivalent atoms are Pm at (0.167, 0.167, 0.000), Y at (0.000, 0.000, 0.500) and Tm at (0.000, 0.336, 0.500).

The calculated density is 7.72 g/cm3. The calculation puts the density of states at the Fermi level at 1.456 states/eV per atom. The total energy comes out at -4.7951 eV per atom.

***

[16]
This record from Alexandria describes a relaxed Pm5Y2Tm6 crystal. The functional is PBE.

The space group is Pbam (No. 55) and the conventional cell measures 11.630, 20.365 and 3.571 Å, with angles of 90.00, 90.00 and 90.00 degrees. The inequivalent atoms are Pm at (0.000, 0.000, 0.000), Pm at (0.088, 0.274, 0.000), Pm at (0.200, 0.549, 0.000), Y at (0.169, 0.711, 0.500), Tm at (0.060, 0.419, 0.500), Tm at (0.080, 0.132, 0.500) and Tm at (0.176, 0.864, 0.000).

The calculated density is 7.53 g/cm3. The calculation puts the density of states at the Fermi level at 1.294 states/eV per atom. The total energy comes out at -4.7894 eV per atom.

***

[17]
This record from Alexandria describes a relaxed Pm4Y3Tm crystal. The functional is PBE.

The space group is Pmn2_1 (No. 31) and the conventional cell measures 11.523, 7.335 and 6.329 Å, with angles of 90.00, 90.00 and 90.00 degrees. The inequivalent atoms are Pm at (0.000, 0.126, 0.000), Pm at (0.000, 0.874, 0.494), Pm at (0.247, 0.873, 0.829), Y at (0.000, 0.376, 0.495), Y at (0.250, 0.377, 0.829) and Tm at (0.000, 0.622, 0.994).

The calculated density is 6.31 g/cm3. The calculation puts the density of states at the Fermi level at 1.886 states/eV per atom. The total energy comes out at -5.3377 eV per atom.

***

[18]
This record from Alexandria describes a relaxed Pm4Y15Tm crystal. The functional is PBE.

The space group is P4/mmm (No. 123) and the conventional cell measures 5.080, 5.080 and 25.357 Å, with angles of 90.00, 90.00 and 90.00 degrees. The inequivalent atoms are Pm at (0.000, 0.000, 0.101), Pm at (0.000, 0.000, 0.301), Y at (0.000, 0.500, 0.000), Y at (0.000, 0.500, 0.201), Y at (0.000, 0.500, 0.402), Y at (0.500, 0.500, 0.100), Y at (0.500, 0.500, 0.302), Y at (0.500, 0.500, 0.500) and Tm at (0.000, 0.000, 0.500).

The calculated density is 5.28 g/cm3. The calculation puts the density of states at the Fermi level at 1.468 states/eV per atom. The total energy comes out at -6.0000 eV per atom.

***

[19]
This record from Alexandria describes a relaxed PmY6Tm2 crystal. The functional is PBE.

The space group is Ibam (No. 72) and the conventional cell measures 5.710, 9.657 and 20.874 Å, with angles of 90.00, 90.00 and 90.00 degrees. The inequivalent atoms are Pm at (0.000, 0.000, 0.250), Y at (0.000, 0.000, 0.083), Y at (0.029, 0.332, 0.165) and Tm at (0.031, 0.332, 0.500).

The calculated density is 5.86 g/cm3. The calculation puts the density of states at the Fermi level at 1.784 states/eV per atom. The total energy comes out at -5.7595 eV per atom.